Entry 1:
# Tb3Ce GGA-PBEsol optimized geometry
# - Crystal system: hexagonal
# - Energy relative to the lowest polymorph listed for this composition: 20 meV/atom
# - ΔH_f (0 K): 0.108 eV/atom
# - Density: 8.64 g/cm3
data_Tb3Ce
_space_group_name_H-M_alt 'P 63/m m c'
_space_group_IT_number 194
_space_group_name_Hall '-P 6c 2c'
_cell_length_a 6.9863
_cell_length_b 6.9863
_cell_length_c 5.6099
_cell_angle_alpha 90.00
_cell_angle_beta 90.00
_cell_angle_gamma 120.00
loop_
_atom_site_label
_atom_site_type_symbol
_atom_site_fract_x
_atom_site_fract_y
_atom_site_fract_z
Tb1 Tb 0.1678 0.3356 0.2500
Ce1 Ce 0.3333 0.6667 0.7500

Entry 2:
# Ce2Te3 GGA-PBEsol optimized geometry
# - Crystal system: orthorhombic
# - DFT total energy: -6.078 eV per atom
# - Density: 7.21 g/cm3
data_Ce2Te3
_space_group_name_H-M_alt 'P n m a'
_space_group_IT_number 62
_space_group_name_Hall '-P 2ac 2n'
_cell_length_a 12.0396
_cell_length_b 4.3518
_cell_length_c 11.6565
_cell_angle_alpha 90.00
_cell_angle_beta 90.00
_cell_angle_gamma 90.00
loop_
_atom_site_label
_atom_site_type_symbol
_atom_site_fract_x
_atom_site_fract_y
_atom_site_fract_z
Ce1 Ce 0.0142 0.2500 0.1857
Ce2 Ce 0.1951 0.2500 0.5009
Te1 Te 0.0469 0.7500 0.3746
Te2 Te 0.1231 0.2500 0.9412
Te3 Te 0.2273 0.7500 0.7046

Number 1: D(E_F) 1.888 states/eV per atom. Number 2: D(E_F) 2.751 states/eV per atom.